Below is crystalline Fe2CoPt at its relaxed geometry, with properties calculated at the PBE level.

Values from the calculation:
As for the calculated formation energy: -0.06 eV per atom. Its crystal system is monoclinic. The value obtained for the density of states at the Fermi level is 7.4 states/eV/cell.

Cell and atoms, written as CIF:
```
data_Fe2CoPt
_chemical_formula_sum 'Fe4 Co2 Pt2'
_symmetry_space_group_name_H-M 'C 1 m 1'
_symmetry_Int_Tables_number 8
_symmetry_space_group_name_Hall 'C -2y'
_cell_length_a 8.659
_cell_length_b 2.661
_cell_length_c 4.528
_cell_angle_alpha 90.00
_cell_angle_beta 100.11
_cell_angle_gamma 90.00
loop_
_atom_site_label
_atom_site_fract_x
_atom_site_fract_y
_atom_site_fract_z
Fe1 0.000 0.000 0.000
Fe2 0.246 0.000 0.742
Co1 0.247 0.500 0.225
Pt1 0.494 0.000 0.493
```



Below is crystalline Pr12Mg3Zn5 at its relaxed geometry, with properties calculated at the PBE level.

Values from the calculation:
As for the calculated formation energy: 0.33 eV per atom. Its crystal system is cubic. The value obtained for the density of states at the Fermi level is 317.0 states/eV/cell.

Cell and atoms, written as CIF:
```
data_Pr12Mg3Zn5
_chemical_formula_sum 'Pr96 Mg24 Zn40'
_symmetry_space_group_name_H-M 'I a -3 d'
_symmetry_Int_Tables_number 230
_symmetry_space_group_name_Hall '-I 4bd 2c 3'
_cell_length_a 18.022
_cell_length_b 18.022
_cell_length_c 18.022
_cell_angle_alpha 90.00
_cell_angle_beta 90.00
_cell_angle_gamma 90.00
loop_
_atom_site_label
_atom_site_fract_x
_atom_site_fract_y
_atom_site_fract_z
Pr1 0.020 0.069 0.647
Mg1 0.000 0.250 0.125
Zn1 0.000 0.000 0.000
Zn2 0.000 0.250 0.375
```



Below is crystalline NaPm3Pb5 at its relaxed geometry, with properties calculated at the PBE level.

Values from the calculation:
As for the calculated formation energy: -0.37 eV per atom. Its crystal system is hexagonal. The value obtained for the density of states at the Fermi level is 10.6 states/eV/cell.

Cell and atoms, written as CIF:
```
data_NaPm3Pb5
_chemical_formula_sum 'Na2 Pm6 Pb10'
_symmetry_space_group_name_H-M 'P 63/m c m'
_symmetry_Int_Tables_number 193
_symmetry_space_group_name_Hall '-P 6c 2'
_cell_length_a 9.7320
_cell_length_b 9.7320
_cell_length_c 6.5182
_cell_angle_alpha 90.00
_cell_angle_beta 90.00
_cell_angle_gamma 120.00
loop_
_atom_site_label
_atom_site_fract_x
_atom_site_fract_y
_atom_site_fract_z
Na1 0.0000 0.0000 0.0000
Pm1 0.0000 0.3689 0.2500
Pb1 0.0000 0.2973 0.7500
Pb2 0.3333 0.6667 0.0000
```



Below is crystalline DyNi4P3 at its relaxed geometry, with properties calculated at the PBE level.

Values from the calculation:
As for the calculated formation energy: -0.81 eV per atom. Its crystal system is tetragonal. The value obtained for the density of states at the Fermi level is 3.1 states/eV/cell.

Cell and atoms, written as CIF:
```
data_DyNi4P3
_chemical_formula_sum 'Dy1 Ni4 P3'
_symmetry_space_group_name_H-M 'P 4/m m m'
_symmetry_Int_Tables_number 123
_symmetry_space_group_name_Hall '-P 4 2'
_cell_length_a 3.833
_cell_length_b 3.833
_cell_length_c 7.251
_cell_angle_alpha 90.00
_cell_angle_beta 90.00
_cell_angle_gamma 90.00
loop_
_atom_site_label
_atom_site_fract_x
_atom_site_fract_y
_atom_site_fract_z
Dy1 0.000 0.000 0.000
Ni1 0.000 0.500 0.323
P1 0.000 0.000 0.500
P2 0.500 0.500 0.158
```



Below is crystalline AcNd2Pt at its relaxed geometry, with properties calculated at the PBE level.

Values from the calculation:
As for the calculated formation energy: -0.60 eV per atom. Its crystal system is monoclinic. The value obtained for the density of states at the Fermi level is 11.3 states/eV/cell. As for the energy above the most stable polymorph in this dataset: 20 meV per atom.

Cell and atoms, written as CIF:
```
data_AcNd2Pt
_chemical_formula_sum 'Ac2 Nd4 Pt2'
_symmetry_space_group_name_H-M 'P 1 21/m 1'
_symmetry_Int_Tables_number 11
_symmetry_space_group_name_Hall '-P 2yb'
_cell_length_a 4.011
_cell_length_b 10.333
_cell_length_c 6.520
_cell_angle_alpha 90.00
_cell_angle_beta 107.89
_cell_angle_gamma 90.00
loop_
_atom_site_label
_atom_site_fract_x
_atom_site_fract_y
_atom_site_fract_z
Ac1 0.080 0.250 0.159
Nd1 0.359 0.064 0.718
Pt1 0.226 0.750 0.453
```



Below is crystalline CsBeI2O8 at its relaxed geometry, with properties calculated at the PBE level.

Values from the calculation:
Its crystal system is monoclinic. The value obtained for the density of states at the Fermi level is 3.6 states/eV/cell. The calculation puts the raw formation energy at -0.6116 eV/atom.

Cell and atoms, written as CIF:
```
data_CsBeI2O8
_chemical_formula_sum 'Cs2 Be2 I4 O16'
_symmetry_space_group_name_H-M 'C 1 2/m 1'
_symmetry_Int_Tables_number 12
_symmetry_space_group_name_Hall '-C 2y'
_cell_length_a 12.088
_cell_length_b 5.465
_cell_length_c 8.502
_cell_angle_alpha 90.00
_cell_angle_beta 121.21
_cell_angle_gamma 90.00
loop_
_atom_site_label
_atom_site_fract_x
_atom_site_fract_y
_atom_site_fract_z
Cs1 0.000 0.000 0.000
Be1 0.000 0.500 0.500
I1 0.177 0.000 0.634
O1 0.106 0.296 0.661
O2 0.161 0.500 0.171
O3 0.180 0.000 0.423
```



no.,total magnetic moment (μB/f.u.)
1,7.5
2,0.0
3,0.0
4,0.0
5,0.0
6,0.0